Entry from Alexandria via LeMat-Bulk: Nd6Ge3Se2Br after structural relaxation (PBE).

Cell lengths 4.298, 8.627, 9.626 Å; angles 103.08, 102.90, 90.00 degrees
Fractional coordinates of all 12 atoms:
Nd 0.326 0.921 0.652
Nd 0.665 0.589 0.329
Nd 0.674 0.079 0.348
Nd 0.998 0.269 0.996
Nd 0.002 0.731 0.004
Nd 0.335 0.411 0.671
Ge 0.500 0.500 0.000
Ge 0.835 0.167 0.670
Ge 0.165 0.833 0.330
Se 0.834 0.668 0.667
Se 0.166 0.332 0.333
Br 0.500 0.000 0.000

Calculated values
E_form (uncorrected) ... -15.95 eV per formula unit
Space group ... C2/m (12)


Entry from Alexandria via LeMat-Bulk: Nd4SiGeBr2 after structural relaxation (PBE).

Cell lengths 4.296, 7.424, 7.725 Å; angles 108.76, 90.00, 90.00 degrees
Fractional coordinates of all 8 atoms:
Nd 0.500 0.235 0.212
Nd 0.500 0.765 0.788
Nd 0.000 0.260 0.788
Nd 0.000 0.740 0.212
Si 0.000 0.000 0.000
Ge 0.500 0.500 0.000
Br 0.500 0.000 0.500
Br 0.000 0.500 0.500

Calculated values
E_form (uncorrected) ... -8.94 eV per formula unit
Space group ... P2/m (10)


Entry from Alexandria via LeMat-Bulk: Nd8SiGe3Br4 after structural relaxation (PBE).

Cell lengths 8.602, 8.830, 8.602 Å; angles 119.16, 120.00, 90.00 degrees
Fractional coordinates of all 16 atoms:
Nd 0.236 0.712 0.976
Nd 0.236 0.712 0.472
Nd 0.262 0.287 0.525
Nd 0.740 0.712 0.976
Nd 0.260 0.288 0.024
Nd 0.738 0.713 0.475
Nd 0.764 0.288 0.528
Nd 0.764 0.288 0.024
Si 0.000 0.500 0.000
Ge 0.500 0.500 0.000
Ge 0.500 0.500 0.500
Ge 0.000 0.500 0.500
Br 0.500 0.000 0.000
Br 0.500 0.000 0.500
Br 0.000 0.000 0.000
Br 0.000 0.000 0.500

Calculated values
E_form (uncorrected) ... -18.18 eV per formula unit
Space group ... R-3m (166)